ZrCdW2: relaxed, PBE.

```
8
Lattice="7.6328 0.0000 0.0000 0.0000 7.6328 0.0000 3.8164 3.8164 2.7676" Properties=species:S:1:pos:R:3 pbc="T T T"
Zr 3.8164 3.8164 0.0000
Zr 3.8164 7.6328 1.3838
W 5.7944 1.9082 0.6919
W 1.8384 5.7246 0.6919
W 5.7246 5.6548 2.0757
W 9.5410 9.6107 2.0757
Cd 0.0000 0.0000 0.0000
Cd 7.6328 3.8164 1.3838
```

Results
Calculated volume   161.2 Å³/cell
Space group   I-42d (122)
Energy relative to the elements   1.187 eV per atom
DOS at the Fermi energy   8.3 states/eV per cell
Raw total energy   -7.66 eV per atom